No. 1
The following is a DFT calculation (PBE-GGA) of Y2VGaSi after structural relaxation.

a b c (Å): 5.3427 5.3427 4.5241
angles (deg): 90.00 90.00 90.00
Closest atoms and distances in Å follow each position.
Sites, in units of the cell vectors:
Y (0.0000, 0.5000, 0.0000)  2 Si 2.67
Y (0.5000, 0.0000, 0.0000)  2 Si 2.67
V (0.0000, 0.0000, 0.5000)  8 Y 3.50, 4 Ga 3.78
Ga (0.5000, 0.5000, 0.5000)  2 Si 2.26
Si (0.5000, 0.5000, 0.0000)  2 Ga 2.26

Properties
Formation energy (no corrections) = 0.605 eV/atom
N(E_F) = 1.52 states/eV/atom
Electronic total energy = -5.4943 eV per atom
Theoretical density = 4.20 Mg/m³

=====

No. 2
The following is a DFT calculation (PBE-GGA) of GaSiW3 after structural relaxation.

a b c (Å): 4.5028 4.5028 4.5028
angles (deg): 90.00 90.00 90.00
Closest atoms and distances in Å follow each position.
Sites, in units of the cell vectors:
Ga (0.0000, 0.0000, 0.0000)  12 W 3.18
Si (0.5000, 0.5000, 0.5000)  6 W 2.25
W (0.0000, 0.5000, 0.5000)  2 Si 2.25
W (0.5000, 0.0000, 0.5000)  2 Si 2.25
W (0.5000, 0.5000, 0.0000)  2 Si 2.25

Properties
Polymorph energy (0 for the lowest one) = 0.000 eV/f.u.
Formation energy (no corrections) = 1.332 eV/atom
N(E_F) = 1.47 states/eV/atom
Electronic total energy = -8.1294 eV per atom
Theoretical density = 11.81 Mg/m³

=====

No. 3
The following is a DFT calculation (PBE-GGA) of GaSi2W after structural relaxation.

a b c (Å): 6.8062 6.8062 6.8062
angles (deg): 129.69 129.69 73.90
Closest atoms and distances in Å follow each position.
Sites, in units of the cell vectors:
Ga (0.0000, 0.0000, 0.0000)  4 Si 2.49
Ga (0.7500, 0.2500, 0.5000)  4 Si 2.49
Si (0.1351, 0.6250, 0.0101)  2 W 2.42, 2 Ga 2.49
Si (0.3750, 0.3851, 0.5101)  2 W 2.42, 2 Ga 2.49
Si (0.6149, 0.1250, 0.9899)  2 W 2.42, 2 Ga 2.49
Si (0.8750, 0.8649, 0.4899)  2 W 2.42, 2 Ga 2.49
W (0.2500, 0.7500, 0.5000)  4 Si 2.42
W (0.5000, 0.5000, 0.0000)  4 Si 2.42

Properties
Formation energy (no corrections) = 0.842 eV/atom
N(E_F) = 0.73 states/eV/atom
Electronic total energy = -5.8644 eV per atom
Theoretical density = 5.65 Mg/m³